<one>
A geometry-optimized FeSIN2 structure, computed with GGA-PBE.

```
FeSIN2
1.0
-1.5899 -2.9586 -1.3163
3.1931 -1.1885 -1.1854
1.0728 -3.3616 6.2599
I N Fe S
1 2 1 1
Cartesian
0.5364 -1.6808 3.1300
-0.7950 -1.4793 -0.6581
1.5965 -0.5943 -0.5927
1.3380 -3.7543 1.8791
0.0000 0.0000 0.0000
```

## Properties
DOS(E_F), states/eV per cell: 5.23
Calculated density, g cm⁻³: 4.3
Volume, Å³/cell: 93.5
SG: P4/mmm (123)

---

<two>
A geometry-optimized FeSIN2 structure, computed with GGA-PBE.

```
FeSIN2
1.0
3.8891 0.0000 0.0000
0.0000 3.8891 0.0000
0.0000 0.0000 5.7887
S I Fe N
1 1 1 2
Cartesian
0.0000 0.0000 2.8944
0.0000 0.0000 0.0000
1.9446 1.9446 2.8944
1.9446 0.0000 0.0000
0.0000 1.9446 0.0000
```

## Properties
DOS(E_F), states/eV per cell: 6.93
Calculated density, g cm⁻³: 4.6
Volume, Å³/cell: 87.6
SG: P4/mmm (123)

---

<three>
A geometry-optimized FeSIN2 structure, computed with GGA-PBE.

```
FeSIN2
1.0
-2.8237 -2.2581 0.7953
0.8169 0.2471 3.6023
-3.2900 4.2736 0.4530
S N Fe I
1 2 1 1
Cartesian
-1.6450 2.1368 0.2265
0.4085 0.1235 1.8011
-1.4119 -1.1291 0.3976
0.0000 0.0000 0.0000
-2.6484 1.1313 2.4253
```

## Properties
DOS(E_F), states/eV per cell: 3.37
Calculated density, g cm⁻³: 5.4
Volume, Å³/cell: 74.2
SG: P4/mmm (123)

---

The most stable of them is <three>.

---

<one>
A geometry-optimized FeSbIN2 structure, computed with GGA-PBE.

```
FeSbIN2
1.0
4.0069 0.0000 0.0000
0.0000 4.0069 0.0000
0.0000 0.0000 5.1720
N Fe I Sb
2 1 1 1
Cartesian
2.0034 0.0000 0.0000
0.0000 2.0034 0.0000
0.0000 0.0000 0.0000
0.0000 0.0000 2.5860
2.0034 2.0034 2.5860
```

## Properties
DOS(E_F), states/eV per cell: 5.55
Calculated density, g cm⁻³: 6.6
Volume, Å³/cell: 83.0
SG: P4/mmm (123)

---

<two>
A geometry-optimized FeSbIN2 structure, computed with GGA-PBE.

```
FeSbIN2
1.0
-0.8318 3.7690 -1.1444
-3.9369 -0.8331 0.1177
-0.2293 2.0697 6.9833
Sb I N Fe
1 1 2 1
Cartesian
0.0000 0.0000 0.0000
-0.1146 1.0349 3.4917
-1.9684 -0.4166 0.0588
-0.4159 1.8845 -0.5722
-2.4990 2.5028 2.9783
```

## Properties
DOS(E_F), states/eV per cell: 5.39
Calculated density, g cm⁻³: 4.7
Volume, Å³/cell: 118.1
SG: P4/mmm (123)

---

The most stable of them is <one>.

---

<one>
A geometry-optimized FeSbI2N structure, computed with GGA-PBE.

```
FeSbI2N
1.0
5.6242 0.0000 0.0000
0.0000 5.6242 0.0000
0.0000 0.0000 4.8992
I Fe Sb N
2 1 1 1
Cartesian
0.0000 2.8121 0.0000
2.8121 0.0000 0.0000
0.0000 0.0000 0.0000
0.0000 0.0000 2.4496
2.8121 2.8121 2.4496
```

## Properties
DOS(E_F), states/eV per cell: 4.04
Calculated density, g cm⁻³: 4.8
Volume, Å³/cell: 155.0
SG: P4/mmm (123)

---

<two>
A geometry-optimized FeSbI2N structure, computed with GGA-PBE.

```
FeSbI2N
1.0
-2.5188 3.0661 -4.7194
-3.0853 -5.0766 -1.6515
-3.0287 1.0854 2.3216
N Fe Sb I
1 1 1 2
Cartesian
-1.5143 0.5427 1.1608
-4.3164 -0.4625 -2.0247
0.0000 0.0000 0.0000
-1.5427 -2.5383 -0.8257
-1.2594 1.5331 -2.3597
```

## Properties
DOS(E_F), states/eV per cell: 6.58
Calculated density, g cm⁻³: 4.9
Volume, Å³/cell: 150.8
SG: P4/mmm (123)

---

The most stable of them is <two>.